Here is an optimized crystal structure of InCuRh2 from Alexandria. Energies are from PBE.

* V: 15.43 A^3/atom
* electronic total energy: -0.19877 Ha/atom

Lattice parameters (Å, degrees): 6.274 6.274 6.274 90.00 90.00 90.00
Space group F-43m (No. 216)
Unique sites:
In1 0.000 0.000 0.000 (multiplicity 4)
Cu1 0.250 0.250 0.750 (multiplicity 4)
Rh1 0.000 0.000 0.500 (multiplicity 4)
Rh2 0.250 0.250 0.250 (multiplicity 4)